1.
Below is La8SnRh2 after structural relaxation, with properties calculated at the GGA-PBE level.

## Properties
The crystal system is monoclinic. As for the symmetry: Cm. As for the final energy: -5.687 eV per atom.

```
La8SnRh2
1.0
-5.4490 1.3306 -0.5562
-0.6553 -8.1550 -1.9911
0.7184 1.7345 8.2082
La Sn Rh
8 1 2
direct
0.4475 0.9197 0.6770 La
0.1947 0.4007 0.4007 La
0.5528 0.3291 0.0864 La
0.5528 0.0864 0.3291 La
0.0000 0.7556 0.2516 La
0.4475 0.6770 0.9197 La
0.8053 0.6053 0.6053 La
0.0000 0.2516 0.7556 La
0.9997 0.0031 0.0031 Sn
0.4997 0.7160 0.2894 Rh
0.4997 0.2894 0.7160 Rh
```


2.
Below is La4SnRh after structural relaxation, with properties calculated at the GGA-PBE level.

## Properties
The crystal system is monoclinic. As for the symmetry: P2_1/m. The excess energy over the best structure of this formula in the dataset is 0.000 eV per atom.

```
La4SnRh
1.0
5.6775 0.0000 -2.8754
0.0000 7.1442 0.0000
-1.2182 0.0000 10.0813
La Rh Sn
8 2 2
direct
0.7131 0.2500 0.8769 La
0.8879 0.0085 0.2773 La
0.4649 0.7500 0.5724 La
0.1121 0.9915 0.7227 La
0.2869 0.7500 0.1231 La
0.5351 0.2500 0.4276 La
0.1121 0.5085 0.7227 La
0.8879 0.4915 0.2773 La
0.2398 0.2500 0.5632 Rh
0.7602 0.7500 0.4368 Rh
0.6587 0.7500 0.9462 Sn
0.3413 0.2500 0.0538 Sn
```


3.
Below is La3Sn3Rh after structural relaxation, with properties calculated at the GGA-PBE level.

## Properties
The crystal system is monoclinic. As for the symmetry: C2/m. As for the final energy: -5.688 eV per atom.

```
La3Sn3Rh
1.0
-0.3551 1.5917 4.3814
4.7677 -1.9495 3.5888
8.0880 12.4882 -1.3870
La Sn Rh
6 6 2
direct
0.7429 0.7571 0.7571 La
0.4785 0.6604 0.3826 La
0.6005 0.7201 0.0789 La
0.3995 0.2799 0.9211 La
0.5215 0.3396 0.6174 La
0.2571 0.2429 0.2429 La
0.1532 0.2269 0.4668 Sn
0.8468 0.7731 0.5332 Sn
0.0330 0.1711 0.7629 Sn
0.1195 0.8380 0.9230 Sn
0.8805 0.1620 0.0770 Sn
0.9670 0.8289 0.2371 Sn
0.7500 0.1156 0.3843 Rh
0.2500 0.8844 0.6157 Rh
```


4.
Below is La4Sn8Rh after structural relaxation, with properties calculated at the GGA-PBE level.

## Properties
The crystal system is orthorhombic. As for the symmetry: Pmm2. As for the final energy: -5.236 eV per atom.

```
La4Sn8Rh
1.0
-2.5087 0.2506 3.7821
-2.8768 -3.2276 -1.6943
9.7142 -12.4746 7.2701
Sn La Rh
8 4 1
direct
0.5000 0.5000 0.0548 Sn
0.5000 0.5000 0.7557 Sn
0.0000 0.5000 0.9366 Sn
0.0000 0.5000 0.2347 Sn
0.5000 0.0000 0.2338 Sn
0.0000 0.0000 0.7504 Sn
0.5000 0.0000 0.5706 Sn
0.0000 0.0000 0.4597 Sn
0.5000 0.5000 0.3943 La
0.5000 0.0000 0.8987 La
0.0000 0.0000 0.0965 La
0.0000 0.5000 0.6070 La
0.0000 0.0000 0.3103 Rh
```


5.
Below is La7Sn2Rh2 after structural relaxation, with properties calculated at the GGA-PBE level.

## Properties
The crystal system is orthorhombic. As for the symmetry: Cmmm. As for the final energy: -5.721 eV per atom.

```
La7Sn2Rh2
1.0
-4.5607 -5.5752 -0.3308
4.1615 -3.6764 4.5813
-2.0161 4.3895 5.3535
Rh Sn La
2 2 7
direct
0.7297 0.0000 0.2703 Rh
0.2703 0.0000 0.7297 Rh
0.1775 0.5000 0.1775 Sn
0.8225 0.5000 0.8225 Sn
0.5000 0.2212 0.5000 La
0.9999 0.7403 0.5000 La
0.0001 0.2597 0.5000 La
0.5000 0.2597 0.9999 La
0.0000 0.0000 0.0000 La
0.5000 0.7403 0.0001 La
0.5000 0.7788 0.5000 La
```


6.
Below is La3Sn2Rh4 after structural relaxation, with properties calculated at the GGA-PBE level.

## Properties
The crystal system is monoclinic. As for the symmetry: C2/m. As for the final energy: -6.580 eV per atom.

```
La3Sn2Rh4
1.0
-3.0718 2.1408 -2.5342
0.9377 -5.3205 -1.5981
-6.3438 -2.0650 5.9453
Rh La Sn
4 3 2
direct
0.9123 0.8247 0.3674 Rh
0.0877 0.1753 0.6326 Rh
0.7198 0.4397 0.0885 Rh
0.2802 0.5603 0.9115 Rh
0.3746 0.7492 0.6158 La
0.0000 0.0000 0.0000 La
0.6254 0.2508 0.3842 La
0.6801 0.3603 0.7838 Sn
0.3199 0.6397 0.2162 Sn
```